First-principles (PBE) data for an optimized crystal structure of La6PmDy4, as listed in Alexandria via LeMat-Bulk.

a = 5.7584 Å, b = 5.7584 Å, c = 26.3311 Å
α = 90.00°, β = 90.00°, γ = 117.82°
Fractional coordinates of all 22 atoms:
La 0.0000 0.0000 0.0000
La 0.0000 0.0000 0.5000
La 0.0482 0.9518 0.7500
La 0.3038 0.6962 0.0981
La 0.3038 0.6962 0.4019
La 0.3733 0.6267 0.6813
La 0.3733 0.6267 0.8187
La 0.6267 0.3733 0.1813
La 0.6267 0.3733 0.3187
La 0.6962 0.3038 0.5981
La 0.6962 0.3038 0.9019
La 0.9518 0.0482 0.2500
Pm 0.2928 0.7072 0.2500
Pm 0.7072 0.2928 0.7500
Dy 0.0386 0.9614 0.6245
Dy 0.0386 0.9614 0.8755
Dy 0.3472 0.6528 0.5452
Dy 0.3472 0.6528 0.9548
Dy 0.6528 0.3472 0.0452
Dy 0.6528 0.3472 0.4548
Dy 0.9614 0.0386 0.1245
Dy 0.9614 0.0386 0.3755

Summary:
excess energy over the best structure of this formula in the dataset: 0.00 eV/f.u.
size of the total moment: 0.0 μB per formula unit
calculated formation energy: 0.1009 eV per atom
total energy: -4.6922 eV/atom